No. 1
Computed, not measured: crystalline PaTeBr2 at its relaxed geometry at the PBE level of DFT.

Unit cell a=4.2718 b=4.4449 c=9.1648 alpha=104.39 beta=103.48 gamma=90.00
Closest atoms and distances in Å follow each position.
Atoms (fractional coordinates):
1 Te 0.2500 0.2500 0.5000  4 Pa 3.08
2 Pa 0.7500 0.7500 0.5000  2 Br 2.67
3 Br 0.9051 0.9085 0.8102  1 Pa 2.67
4 Br 0.5949 0.5915 0.1898  1 Pa 2.67

Values from the calculation:
Energy above the most stable polymorph in this dataset (eV per atom): 0.011



No. 2
Computed, not measured: crystalline PaTe2Br at its relaxed geometry at the PBE level of DFT.

Unit cell a=4.1676 b=4.1676 c=6.2910 alpha=90.00 beta=90.00 gamma=90.00
Closest atoms and distances in Å follow each position.
Atoms (fractional coordinates):
1 Te 0.0000 0.0000 0.2304  1 Te 2.90
2 Te 0.0000 0.0000 0.7696  1 Te 2.90
3 Br 0.5000 0.5000 0.5000  2 Pa 3.15, 8 Te 3.40
4 Pa 0.5000 0.5000 0.0000  2 Br 3.15, 8 Te 3.28

Values from the calculation:
Energy above the most stable polymorph in this dataset (eV per atom): 0.000



No. 3
Computed, not measured: crystalline ThPaBr at its relaxed geometry at the PBE level of DFT.

Unit cell a=3.3896 b=5.3103 c=18.4645 alpha=90.00 beta=90.00 gamma=90.00
Closest atoms and distances in Å follow each position.
Atoms (fractional coordinates):
1 Br 0.2500 0.2504 0.0612  5 Th 3.34-3.37, 2 Br 3.39, 2 Pa 3.41
2 Br 0.7500 0.7496 0.9388  5 Th 3.34-3.37, 2 Br 3.39, 2 Pa 3.41
3 Br 0.2500 0.2496 0.5612  5 Th 3.34-3.37, 2 Br 3.39, 2 Pa 3.41
4 Br 0.7500 0.7504 0.4388  5 Th 3.34-3.37, 2 Br 3.39, 2 Pa 3.41
5 Th 0.2500 0.2509 0.3787  4 Pa 3.24-3.36, 5 Br 3.34-3.37, 2 Th 3.39
6 Th 0.2500 0.2491 0.8787  4 Pa 3.24-3.36, 5 Br 3.34-3.37, 2 Th 3.39
7 Th 0.7500 0.7509 0.1213  4 Pa 3.24-3.36, 5 Br 3.34-3.37, 2 Th 3.39
8 Th 0.7500 0.7491 0.6213  4 Pa 3.24-3.36, 5 Br 3.34-3.37, 2 Th 3.39
9 Pa 0.2500 0.7510 0.2784  4 Th 3.24-3.36, 6 Pa 3.32-3.39, 2 Br 3.41
10 Pa 0.7500 0.2490 0.7216  4 Th 3.24-3.36, 6 Pa 3.32-3.39, 2 Br 3.41
11 Pa 0.2500 0.7490 0.7784  4 Th 3.24-3.36, 6 Pa 3.32-3.39, 2 Br 3.41
12 Pa 0.7500 0.2510 0.2216  4 Th 3.24-3.36, 6 Pa 3.32-3.39, 2 Br 3.41



No. 4
Computed, not measured: crystalline ThPaBr2 at its relaxed geometry at the PBE level of DFT.

Unit cell a=3.4913 b=3.4913 c=10.8074 alpha=80.70 beta=80.70 gamma=60.00
Closest atoms and distances in Å follow each position.
Atoms (fractional coordinates):
1 Br 0.0949 0.0949 0.7152  1 Pa 3.02, 3 Th 3.05
2 Br 0.9051 0.9051 0.2848  1 Pa 3.02, 3 Th 3.05
3 Th 0.5000 0.5000 0.5000  6 Br 3.05
4 Pa 0.0000 0.0000 0.0000  2 Br 3.02



No. 5
Computed, not measured: crystalline PaTiBr2 at its relaxed geometry at the PBE level of DFT.

Unit cell a=3.2848 b=3.2848 c=9.8940 alpha=80.44 beta=80.44 gamma=60.00
Closest atoms and distances in Å follow each position.
Atoms (fractional coordinates):
1 Pa 0.0000 0.0000 0.0000  2 Br 3.03, 6 Pa 3.28
2 Br 0.1040 0.1040 0.6879  3 Ti 2.63
3 Br 0.8960 0.8960 0.3121  3 Ti 2.63
4 Ti 0.5000 0.5000 0.5000  6 Br 2.63



No. 6
Computed, not measured: crystalline Pa2TiBr8 at its relaxed geometry at the PBE level of DFT.

Unit cell a=7.3351 b=7.7064 c=7.7064 alpha=59.21 beta=88.27 gamma=88.27
Closest atoms and distances in Å follow each position.
Atoms (fractional coordinates):
1 Br 0.2443 0.2885 0.7878  1 Ti 2.68, 1 Pa 2.96
2 Br 0.7557 0.7115 0.2122  1 Ti 2.68, 1 Pa 2.96
3 Br 0.4025 0.2886 0.2886  1 Pa 2.78
4 Br 0.7557 0.2122 0.7115  1 Ti 2.68, 1 Pa 2.96
5 Br 0.5975 0.7114 0.7114  1 Pa 2.78
6 Br 0.1156 0.8131 0.8131  1 Ti 2.62, 1 Pa 2.91
7 Br 0.8844 0.1869 0.1869  1 Ti 2.62, 1 Pa 2.91
8 Br 0.2443 0.7878 0.2885  1 Ti 2.68, 1 Pa 2.96
9 Pa 0.4655 0.9083 0.9083  1 Pa 2.53, 1 Br 2.78
10 Pa 0.5345 0.0917 0.0917  1 Pa 2.53, 1 Br 2.78
11 Ti 0.0000 0.0000 0.0000  6 Br 2.62-2.68



No. 7
Computed, not measured: crystalline PaTl2Br6 at its relaxed geometry at the PBE level of DFT.

Unit cell a=8.5341 b=7.7145 c=10.8201 alpha=93.53 beta=90.00 gamma=90.00
Closest atoms and distances in Å follow each position.
Atoms (fractional coordinates):
1 Br 0.0330 0.1182 0.7495  1 Pa 2.81
2 Br 0.9670 0.8818 0.2505  1 Pa 2.81
3 Br 0.7796 0.3308 0.0576  1 Pa 2.81
4 Br 0.3272 0.1987 0.0475  1 Pa 2.83
5 Br 0.7204 0.8308 0.5576  1 Pa 2.81
6 Br 0.5330 0.3818 0.7505  1 Pa 2.81
7 Br 0.2204 0.6692 0.9424  1 Pa 2.81
8 Br 0.1728 0.6987 0.5475  1 Pa 2.83
9 Br 0.6728 0.8013 0.9525  1 Pa 2.83
10 Br 0.4670 0.6182 0.2495  1 Pa 2.81
11 Br 0.2796 0.1692 0.4424  1 Pa 2.81
12 Br 0.8272 0.3013 0.4525  1 Pa 2.83
13 Tl 0.9051 0.5301 0.7390  7 Br 3.37-3.61
14 Tl 0.0949 0.4699 0.2610  7 Br 3.37-3.61
15 Tl 0.4051 0.9699 0.7610  7 Br 3.37-3.61
16 Tl 0.5949 0.0301 0.2390  7 Br 3.37-3.61
17 Pa 0.5000 0.5000 0.0000  6 Br 2.81-2.83
18 Pa 0.0000 0.0000 0.5000  6 Br 2.81-2.83

Values from the calculation:
Energy above the most stable polymorph in this dataset (eV per atom): 0.000



No. 8
Computed, not measured: crystalline PaTlBr5 at its relaxed geometry at the PBE level of DFT.

Unit cell a=7.9218 b=7.9218 c=11.3285 alpha=70.26 beta=70.26 gamma=69.85
Closest atoms and distances in Å follow each position.
Atoms (fractional coordinates):
1 Br 0.1280 0.3130 0.3766  1 Pa 2.75
2 Br 0.9224 0.0776 0.7500  2 Pa 2.92
3 Br 0.7815 0.3600 0.0062  1 Pa 2.79
4 Br 0.3600 0.7815 0.5062  1 Pa 2.79
5 Br 0.0776 0.9224 0.2500  2 Pa 2.92
6 Br 0.8720 0.6870 0.6234  1 Pa 2.75
7 Br 0.3130 0.1280 0.8766  1 Pa 2.75
8 Br 0.2185 0.6400 0.9938  1 Pa 2.79
9 Br 0.6400 0.2185 0.4938  1 Pa 2.79
10 Br 0.6870 0.8720 0.1234  1 Pa 2.75
11 Tl 0.4715 0.5285 0.2500  5 Br 3.33-3.57
12 Tl 0.5285 0.4715 0.7500  5 Br 3.33-3.57
13 Pa 0.0000 0.0000 0.0000  6 Br 2.75-2.92
14 Pa 0.0000 0.0000 0.5000  6 Br 2.75-2.92



No. 9
Computed, not measured: crystalline Pa2TlBr11 at its relaxed geometry at the PBE level of DFT.

Unit cell a=13.0797 b=11.8400 c=11.8400 alpha=67.32 beta=56.47 gamma=56.47
Closest atoms and distances in Å follow each position.
Atoms (fractional coordinates):
1 Br 0.3910 0.8216 0.9198  1 Pa 2.71
2 Br 0.0732 0.1278 0.6118  1 Pa 2.71
3 Br 0.5732 0.1118 0.6278  1 Pa 2.71
4 Br 0.8910 0.4198 0.3216  1 Pa 2.71
5 Br 0.8038 0.7954 0.2046  1 Pa 2.63
6 Br 0.6962 0.2954 0.7046  1 Pa 2.63
7 Br 0.1873 0.6118 0.1278  1 Pa 2.71
8 Br 0.4268 0.8882 0.3722  1 Pa 2.71
9 Br 0.1090 0.5802 0.6784  1 Pa 2.71
10 Br 0.6324 0.6784 0.5802  1 Pa 2.71
11 Br 0.6090 0.1784 0.0802  1 Pa 2.71
12 Br 0.5000 0.5000 0.5000  2 Pa 2.92
13 Br 0.9268 0.8722 0.3882  1 Pa 2.71
14 Br 0.3038 0.7046 0.2954  1 Pa 2.63
15 Br 0.0000 0.0000 0.0000  2 Pa 2.92
16 Br 0.1962 0.2046 0.7954  1 Pa 2.63
17 Br 0.3127 0.3722 0.8882  1 Pa 2.71
18 Br 0.8127 0.3882 0.8722  1 Pa 2.71
19 Br 0.1324 0.0802 0.1784  1 Pa 2.71
20 Br 0.6873 0.6278 0.1118  1 Pa 2.71
21 Br 0.8676 0.9198 0.8216  1 Pa 2.71
22 Br 0.3676 0.3216 0.4198  1 Pa 2.71
23 Pa 0.6601 0.6552 0.3448  6 Br 2.63-2.92
24 Pa 0.3399 0.3448 0.6552  6 Br 2.63-2.92
25 Pa 0.1601 0.8448 0.1552  6 Br 2.63-2.92
26 Pa 0.8399 0.1552 0.8448  6 Br 2.63-2.92
27 Tl 0.2500 0.2500 0.2500  8 Br 3.65-3.71
28 Tl 0.7500 0.7500 0.7500  8 Br 3.65-3.71



No. 10
Computed, not measured: crystalline Pa2TlBr8 at its relaxed geometry at the PBE level of DFT.

Unit cell a=12.3486 b=7.3755 c=7.3755 alpha=97.45 beta=109.54 gamma=109.54
Closest atoms and distances in Å follow each position.
Atoms (fractional coordinates):
1 Pa 0.6675 0.9796 0.9796  5 Br 2.73-2.92
2 Pa 0.3325 0.0204 0.0204  5 Br 2.73-2.92
3 Br 0.6831 0.7074 0.7074  1 Pa 2.75
4 Br 0.3973 0.7709 0.7709  2 Pa 2.90-2.92
5 Br 0.1757 0.7014 0.0878  1 Pa 2.73
6 Br 0.3169 0.2926 0.2926  1 Pa 2.75
7 Br 0.1757 0.0878 0.7014  1 Pa 2.73
8 Br 0.8243 0.2986 0.9122  1 Pa 2.73
9 Br 0.6027 0.2291 0.2291  2 Pa 2.90-2.92
10 Br 0.8243 0.9122 0.2986  1 Pa 2.73
11 Tl 0.0000 0.0000 0.0000  6 Br 3.48-3.55

Values from the calculation:
Energy above the most stable polymorph in this dataset (eV per atom): 0.000



In the order shown, the computed energy values come out to -20.46, -20.46, -77.35, -22.74, -22.42, -53.40, -70.84, -58.30, -116.55, -47.94 eV/cell.
In the order shown, the computed ΔE_f (raw) values come out to -1120.1, -750.8, -249.7, -620.6, -420.0, -1193.6, -1239.3, -1275.0, -1322.4, -1199.9 meV per atom.